Entry 1:
FeTc2Hg PBE optimized geometry; total energy = -0.2535 hartree per atom; N(E_F) = 3.1 states/eV/cell; E_form = 1.9 eV/f.u.
1.0
-1.969 1.977 3.913
1.969 -1.977 3.913
1.969 1.977 -3.913
Fe Tc Hg
1 2 1
direct
0.000 0.000 0.000
0.501 0.501 0.000
0.749 0.249 0.500
0.250 0.750 0.500

Entry 2:
AlAg2Br PBE optimized geometry; excess energy over the best structure of this formula in the dataset = 52 meV/atom; raw formation energy = 0.13 eV/f.u.; total energy = -0.1009 hartree per atom; N(E_F) = 1.0 states/eV/cell
1.0
4.293 -1.730 0.000
4.293 1.730 0.000
-1.890 0.000 5.973
Al Ag Br
1 2 1
direct
0.000 0.000 0.000
0.260 0.260 0.816
0.740 0.740 0.184
0.500 0.500 0.500

Entry 3:
CoIr2S4 PBE optimized geometry; raw formation energy = 3.31 eV/f.u.; total energy = -0.1996 hartree per atom; N(E_F) = 3.2 states/eV/cell
1.0
-2.333 2.333 5.542
2.333 -2.333 5.542
2.333 2.333 -5.542
Co Ir S
1 2 4
direct
0.000 0.000 0.000
0.387 0.387 0.000
0.613 0.613 0.000
0.000 0.500 0.500
0.194 0.194 0.000
0.500 0.000 0.500
0.806 0.806 0.000

Entry 4:
La2NCl2 PBE optimized geometry; raw formation energy = -9.37 eV/f.u.; total energy = -0.2297 hartree per atom; N(E_F) = 3.0 states/eV/cell
1.0
1.944 -8.854 0.000
1.944 8.854 0.000
0.000 0.000 7.510
La N Cl
4 2 4
direct
0.029 0.971 0.500
0.348 0.652 0.353
0.652 0.348 0.853
0.971 0.029 0.000
0.080 0.920 0.809
0.920 0.080 0.309
0.267 0.733 0.014
0.423 0.577 0.705
0.577 0.423 0.205
0.733 0.267 0.514

Entry 5:
Pr3Sm4Dy2 PBE optimized geometry; excess energy over the best structure of this formula in the dataset = 54 meV/atom; total energy = -0.1706 hartree per atom; N(E_F) = 16.2 states/eV/cell; E_form = 0.6 eV/f.u.
1.0
3.637 0.000 0.000
-1.819 3.150 0.000
0.000 0.000 27.106
Pr Sm Dy
3 4 2
direct
0.000 0.000 0.000
0.000 0.000 0.337
0.667 0.333 0.671
0.000 0.000 0.559
0.000 0.000 0.784
0.667 0.333 0.230
0.667 0.333 0.452
0.667 0.333 0.105
0.667 0.333 0.888

Entry 6:
TmTh8C5 PBE optimized geometry; total energy = -0.2959 hartree per atom; N(E_F) = 14.9 states/eV/cell; E_form = -2.8 eV/f.u.
1.0
9.648 -1.837 0.000
9.648 1.837 0.000
-2.292 0.000 9.261
Tm Th C
1 8 5
direct
0.000 0.000 0.000
0.077 0.077 0.663
0.262 0.262 0.333
0.331 0.331 0.005
0.409 0.409 0.657
0.591 0.591 0.343
0.669 0.669 0.995
0.738 0.738 0.667
0.923 0.923 0.337
0.165 0.165 0.490
0.205 0.205 0.845
0.500 0.500 0.500
0.795 0.795 0.155
0.835 0.835 0.510

What is the formula in the sixth record?
TmTh8C5

Copy entry 3 word for word.
CoIr2S4 PBE optimized geometry; raw formation energy = 3.31 eV/f.u.; total energy = -0.1996 hartree per atom; N(E_F) = 3.2 states/eV/cell
1.0
-2.333 2.333 5.542
2.333 -2.333 5.542
2.333 2.333 -5.542
Co Ir S
1 2 4
direct
0.000 0.000 0.000
0.387 0.387 0.000
0.613 0.613 0.000
0.000 0.500 0.500
0.194 0.194 0.000
0.500 0.000 0.500
0.806 0.806 0.000